Record 1
Zr4Al2Au5, optimized geometry, DFT PBE-GGA; total DFT energy (no corrections) = -5.74 eV/atom; DOS(E_F) = 8.16 states/eV/f.u.; space group = P2/m, No. 10; energy relative to the elements = -0.4620 eV/atom; volume = 213.1 Å³ per cell
1.0
7.1470 0.0000 0.0000
0.0000 3.1841 0.0000
-0.6003 0.0000 9.3620
Zr Al Au
4 2 5
Direct
0.1739 0.0000 0.3878
0.2745 0.0000 0.9420
0.7255 0.0000 0.0580
0.8261 0.0000 0.6122
0.0589 0.5000 0.1356
0.9411 0.5000 0.8644
0.1808 0.5000 0.6634
0.4287 0.5000 0.1949
0.5000 0.5000 0.5000
0.5713 0.5000 0.8051
0.8192 0.5000 0.3366

Record 2
Zr5AlAu4, optimized geometry, DFT PBE-GGA; total DFT energy (no corrections) = -6.45 eV/atom; DOS(E_F) = 8.15 states/eV/f.u.; space group = P4/mmm, No. 123; energy relative to the elements = -0.4945 eV/atom; volume = 197.7 Å³ per cell
1.0
3.1244 0.0000 0.0000
0.0000 3.1244 0.0000
0.0000 0.0000 20.2528
Zr Al Au
5 1 4
Direct
0.0000 0.0000 0.0000
0.0000 0.0000 0.2002
0.0000 0.0000 0.4009
0.0000 0.0000 0.5991
0.0000 0.0000 0.7998
0.5000 0.5000 0.5000
0.5000 0.5000 0.1001
0.5000 0.5000 0.3001
0.5000 0.5000 0.6999
0.5000 0.5000 0.8999